This record from Alexandria describes a relaxed structure of Dy2PSe. The functional is GGA-PBE.

Cell and atoms, written as POSCAR:
```
Dy2PSe
1.0
-1.6394 -1.0071 3.5138
-3.4938 -5.0833 -3.0869
5.3179 -4.3965 1.2210
Dy P Se
4 2 2
Direct
0.2500 0.4969 0.2316 Dy
0.7500 0.5031 0.7684 Dy
0.7500 0.9969 0.7684 Dy
0.2500 0.0031 0.2316 Dy
0.7500 0.2500 0.0848 P
0.2500 0.7500 0.9152 P
0.2500 0.2500 0.5799 Se
0.7500 0.7500 0.4201 Se
```

Values from the calculation:
- Calculated volume: 194 Å³ per cell
- Formation energy without anion corrections: -1.64 eV per atom
- Space-group type: No. 59